No. 1
The following is a DFT calculation (PBE-GGA) of a relaxed structure of BaSrSc4.

Computed properties:
- Fermi-level density of states (states/eV/f.u.) = 10.44
- V (Å³/atom) = 35.06
- DFT total energy (eV for the cell shown) = -26.80
- formation energy from the elements (eV/atom) = 0.36

Cell lengths 6.6755, 6.6755, 6.6755 Å; angles 60.00, 60.00, 60.00 degrees
Last column: nearest neighbours and their distance in Å.
Sites, in units of the cell vectors:
Ba 0.0000 0.0000 0.0000  12 Sc 3.91, 4 Sr 4.09
Sr 0.2500 0.2500 0.2500  12 Sc 3.92, 4 Ba 4.09
Sc 0.1227 0.6258 0.6258  6 Sc 3.32-3.36
Sc 0.6258 0.1227 0.6258  6 Sc 3.32-3.36
Sc 0.6258 0.6258 0.1227  6 Sc 3.32-3.36
Sc 0.6258 0.6258 0.6258  6 Sc 3.32-3.36

No. 2
The following is a DFT calculation (PBE-GGA) of a relaxed structure of BaSrSc2.

Computed properties:
- Fermi-level density of states (states/eV/f.u.) = 7.85
- V (Å³/atom) = 35.61
- distance to the lowest polymorph of the same formula (meV/atom) = 229.3
- DFT total energy (eV for the cell shown) = -14.48
- formation energy from the elements (eV/atom) = 0.45

Cell lengths 6.4263, 6.4263, 6.3870 Å; angles 99.45, 99.45, 33.24 degrees
Last column: nearest neighbours and their distance in Å.
Sites, in units of the cell vectors:
Ba 0.0000 0.0000 0.0000  2 Ba 3.68, 4 Sr 3.68, 6 Sc 3.70-3.71
Sr 0.5000 0.5000 0.5000  2 Sr 3.68, 4 Ba 3.68, 6 Sc 3.70-3.71
Sc 0.2506 0.2506 0.7503  6 Sc 3.68-3.69, 3 Sr 3.70-3.71, 3 Ba 3.70-3.71
Sc 0.7494 0.7494 0.2497  6 Sc 3.68-3.69, 3 Sr 3.70-3.71, 3 Ba 3.70-3.71

No. 3
The following is a DFT calculation (PBE-GGA) of a relaxed structure of BaSrSc2.

Computed properties:
- Fermi-level density of states (states/eV/f.u.) = 7.46
- V (Å³/atom) = 37.70
- distance to the lowest polymorph of the same formula (meV/atom) = 123.8
- DFT total energy (eV for the cell shown) = -14.90
- formation energy from the elements (eV/atom) = 0.34

Cell lengths 6.9446, 6.9446, 6.3670 Å; angles 110.10, 110.10, 31.72 degrees
Last column: nearest neighbours and their distance in Å.
Sites, in units of the cell vectors:
Ba 0.0000 0.0000 0.0000  7 Sc 3.73-3.80, 2 Ba 3.80, 1 Sr 4.03
Sr 0.2080 0.2080 0.6402  7 Sc 3.71-3.82, 2 Sr 3.80, 1 Ba 4.03
Sc 0.4481 0.4481 0.4543  2 Sc 3.11
Sc 0.7606 0.7606 0.1904  2 Sc 3.11

No. 4
The following is a DFT calculation (PBE-GGA) of a relaxed structure of BaSrSc.

Computed properties:
- Fermi-level density of states (states/eV/f.u.) = 5.26
- V (Å³/atom) = 43.64
- distance to the lowest polymorph of the same formula (meV/atom) = 0.0
- DFT total energy (eV for the cell shown) = -9.05
- formation energy from the elements (eV/atom) = 0.30

Cell lengths 7.9068, 7.9068, 7.9068 Å; angles 148.97, 148.97, 44.45 degrees
Last column: nearest neighbours and their distance in Å.
Sites, in units of the cell vectors:
Ba 0.0000 0.0000 0.0000  4 Sc 3.71
Sr 0.2921 0.2921 0.0000  4 Sc 3.64
Sc 0.6503 0.6503 0.0000  4 Sr 3.64, 4 Ba 3.71

No. 5
The following is a DFT calculation (PBE-GGA) of a relaxed structure of Ba2SrSc.

Computed properties:
- Fermi-level density of states (states/eV/f.u.) = 7.00
- V (Å³/atom) = 48.30
- distance to the lowest polymorph of the same formula (meV/atom) = 0.4
- DFT total energy (eV for the cell shown) = -10.96
- formation energy from the elements (eV/atom) = 0.22

Cell lengths 4.3266, 4.3266, 10.3211 Å; angles 90.00, 90.00, 90.00 degrees
Last column: nearest neighbours and their distance in Å.
Sites, in units of the cell vectors:
Ba 0.0000 0.0000 0.2070  4 Sc 3.73
Ba 0.0000 0.0000 0.7930  4 Sc 3.73
Sr 0.5000 0.5000 0.5000  8 Ba 4.30, 4 Sr 4.33
Sc 0.5000 0.5000 0.0000  8 Ba 3.73

No. 6
The following is a DFT calculation (PBE-GGA) of a relaxed structure of Ba2SrSc.

Computed properties:
- Fermi-level density of states (states/eV/f.u.) = 5.72
- V (Å³/atom) = 47.32
- distance to the lowest polymorph of the same formula (meV/atom) = 53.3
- DFT total energy (eV for the cell shown) = -10.75
- formation energy from the elements (eV/atom) = 0.28

Cell lengths 13.3913, 13.3913, 13.3913 Å; angles 17.49, 17.49, 17.49 degrees
Last column: nearest neighbours and their distance in Å.
Sites, in units of the cell vectors:
Ba 0.2400 0.2400 0.2400  3 Sc 3.73, 6 Ba 4.07
Ba 0.7600 0.7600 0.7600  3 Sc 3.73, 6 Ba 4.07
Sr 0.0000 0.0000 0.0000  6 Sr 4.07, 6 Ba 4.38
Sc 0.5000 0.5000 0.5000  6 Ba 3.73, 6 Sc 4.07